Record 1
Entry from OQMD via LeMat-Bulk: crystalline NaSmZnTe3 at its relaxed geometry (GGA-PBE).

ΔE to the lowest computed polymorph = 1 meV/atom

The structure in POSCAR format:
```
NaSmZnTe3
1.0
11.788 0.000 0.000
0.000 4.353 0.000
0.000 0.000 14.701
Na Sm Zn Te
4 4 4 12
direct
0.250 0.250 0.014 Na
0.250 0.750 0.514 Na
0.750 0.250 0.486 Na
0.750 0.750 0.986 Na
0.001 0.250 0.250 Sm
0.499 0.750 0.750 Sm
0.501 0.250 0.250 Sm
0.999 0.750 0.750 Sm
0.250 0.250 0.719 Zn
0.250 0.750 0.219 Zn
0.750 0.250 0.781 Zn
0.750 0.750 0.281 Zn
0.071 0.250 0.608 Te
0.072 0.750 0.108 Te
0.249 0.750 0.834 Te
0.251 0.250 0.334 Te
0.428 0.250 0.608 Te
0.429 0.750 0.108 Te
0.571 0.250 0.892 Te
0.572 0.750 0.392 Te
0.749 0.750 0.666 Te
0.751 0.250 0.166 Te
0.928 0.250 0.892 Te
0.929 0.750 0.392 Te
```

Record 2
Entry from OQMD via LeMat-Bulk: crystalline HfIn2Cl6 at its relaxed geometry (GGA-PBE).

Electronic total energy = -4.39 eV/atom

The structure in POSCAR format:
```
HfIn2Cl6
1.0
7.063 0.000 0.000
0.000 8.158 0.000
-6.759 0.000 9.820
Hf In Cl
2 4 12
direct
0.000 0.000 0.000 Hf
0.000 0.500 0.500 Hf
0.274 0.097 0.757 In
0.274 0.403 0.257 In
0.726 0.597 0.743 In
0.726 0.903 0.243 In
0.155 0.030 0.243 Cl
0.155 0.470 0.743 Cl
0.219 0.744 0.050 Cl
0.219 0.756 0.550 Cl
0.328 0.160 0.036 Cl
0.328 0.340 0.536 Cl
0.672 0.660 0.464 Cl
0.672 0.840 0.964 Cl
0.781 0.244 0.450 Cl
0.781 0.256 0.950 Cl
0.845 0.530 0.257 Cl
0.845 0.970 0.757 Cl
```

Record 3
Entry from OQMD via LeMat-Bulk: crystalline NbTlCuHg at its relaxed geometry (GGA-PBE).

ΔE to the lowest computed polymorph = 99 meV/atom

The structure in POSCAR format:
```
NbTlCuHg
1.0
0.000 3.399 3.399
3.399 0.000 3.399
3.399 3.399 0.000
Nb Tl Cu Hg
1 1 1 1
direct
0.000 0.000 0.000 Nb
0.500 0.500 0.500 Tl
0.750 0.750 0.750 Cu
0.250 0.250 0.250 Hg
```

Record 4
Entry from OQMD via LeMat-Bulk: crystalline LaPrCu2Si4 at its relaxed geometry (GGA-PBE).

Electronic total energy = -5.46 eV/atom

The structure in POSCAR format:
```
LaPrCu2Si4
1.0
4.091 0.000 0.000
0.000 2.119 8.512
0.000 -2.119 8.512
La Pr Cu Si
1 1 2 4
direct
0.000 0.000 0.000 La
0.500 0.792 0.792 Pr
0.000 0.220 0.220 Cu
0.500 0.572 0.572 Cu
0.000 0.359 0.359 Si
0.000 0.648 0.648 Si
0.500 0.145 0.145 Si
0.500 0.432 0.432 Si
```

Record 5
Entry from OQMD via LeMat-Bulk: crystalline BaZn4Sn3 at its relaxed geometry (GGA-PBE).

Electronic total energy = -2.60 eV/atom

The structure in POSCAR format:
```
BaZn4Sn3
1.0
4.919 0.000 0.000
0.000 4.919 0.000
0.000 0.000 8.196
Ba Zn Sn
1 4 3
direct
0.000 0.000 0.000 Ba
0.000 0.500 0.331 Zn
0.000 0.500 0.669 Zn
0.500 0.000 0.331 Zn
0.500 0.000 0.669 Zn
0.000 0.000 0.500 Sn
0.500 0.500 0.176 Sn
0.500 0.500 0.824 Sn
```

Record 6
Entry from OQMD via LeMat-Bulk: crystalline LiNdCoS3 at its relaxed geometry (GGA-PBE).

Electronic total energy = -5.49 eV/atom

The structure in POSCAR format:
```
LiNdCoS3
1.0
1.925 -5.857 0.000
1.925 5.857 0.000
0.000 0.000 10.862
Li Nd Co S
2 2 2 6
direct
0.229 0.771 0.750 Li
0.771 0.229 0.250 Li
0.000 0.000 0.000 Nd
0.000 0.000 0.500 Nd
0.479 0.521 0.250 Co
0.521 0.479 0.750 Co
0.084 0.916 0.250 S
0.352 0.648 0.095 S
0.352 0.648 0.405 S
0.648 0.352 0.595 S
0.648 0.352 0.905 S
0.916 0.084 0.750 S
```

Record 7
Entry from OQMD via LeMat-Bulk: crystalline GdNb3C at its relaxed geometry (GGA-PBE).

Electronic total energy = -8.77 eV/atom

The structure in POSCAR format:
```
GdNb3C
1.0
4.476 0.000 0.000
0.000 4.476 0.000
0.000 0.000 4.476
Gd Nb C
1 3 1
direct
0.000 0.000 0.000 Gd
0.000 0.500 0.500 Nb
0.500 0.000 0.500 Nb
0.500 0.500 0.000 Nb
0.500 0.500 0.500 C
```

Record 8
Entry from OQMD via LeMat-Bulk: crystalline Gd2DyAl3Cu2Pd at its relaxed geometry (GGA-PBE).

Electronic total energy = -4.77 eV/atom

The structure in POSCAR format:
```
Gd2DyAl3Cu2Pd
1.0
4.082 0.000 0.000
0.000 6.140 3.533
0.000 -6.140 3.533
Gd Dy Al Cu Pd
2 1 3 2 1
direct
0.000 0.210 0.790 Gd
0.000 0.790 0.210 Gd
0.000 0.629 0.629 Dy
0.500 0.211 0.449 Al
0.500 0.449 0.211 Al
0.500 0.971 0.971 Al
0.500 0.544 0.875 Cu
0.500 0.875 0.544 Cu
0.000 0.212 0.212 Pd
```

Record 9
Entry from OQMD via LeMat-Bulk: crystalline BaScAgTe3 at its relaxed geometry (GGA-PBE).

Electronic total energy = -4.57 eV/atom

The structure in POSCAR format:
```
BaScAgTe3
1.0
8.576 0.000 0.000
0.000 4.357 0.000
-3.297 0.000 10.036
Ba Sc Ag Te
2 2 2 6
direct
0.238 0.250 0.283 Ba
0.762 0.750 0.717 Ba
0.312 0.750 0.840 Sc
0.688 0.250 0.160 Sc
0.079 0.250 0.596 Ag
0.921 0.750 0.404 Ag
0.088 0.250 0.865 Te
0.277 0.750 0.554 Te
0.444 0.750 0.133 Te
0.556 0.250 0.867 Te
0.723 0.250 0.446 Te
0.912 0.750 0.135 Te
```

Record 10
Entry from OQMD via LeMat-Bulk: crystalline HfTlTe3Au at its relaxed geometry (GGA-PBE).

ΔE to the lowest computed polymorph = 23 meV/atom

The structure in POSCAR format:
```
HfTlTe3Au
1.0
11.390 0.000 0.000
0.000 4.131 0.000
0.000 0.000 15.094
Hf Tl Te Au
4 4 12 4
direct
0.055 0.250 0.245 Hf
0.445 0.750 0.745 Hf
0.555 0.250 0.255 Hf
0.945 0.750 0.755 Hf
0.222 0.750 0.513 Tl
0.278 0.250 0.013 Tl
0.722 0.750 0.987 Tl
0.778 0.250 0.487 Tl
0.021 0.250 0.629 Te
0.049 0.750 0.107 Te
0.219 0.750 0.824 Te
0.281 0.250 0.324 Te
0.451 0.250 0.607 Te
0.479 0.750 0.129 Te
0.521 0.250 0.871 Te
0.549 0.750 0.393 Te
0.719 0.750 0.676 Te
0.781 0.250 0.176 Te
0.951 0.250 0.893 Te
0.979 0.750 0.371 Te
0.248 0.250 0.700 Au
0.252 0.750 0.200 Au
0.748 0.250 0.800 Au
0.752 0.750 0.300 Au
```

Record 11
Entry from OQMD via LeMat-Bulk: crystalline TlIrSeO at its relaxed geometry (GGA-PBE).

ΔE to the lowest computed polymorph = 201 meV/atom

The structure in POSCAR format:
```
TlIrSeO
1.0
5.378 0.000 0.000
0.000 5.217 0.000
-0.407 0.000 11.916
Tl Ir Se O
4 4 4 4
direct
0.146 0.000 0.169 Tl
0.314 0.507 0.005 Tl
0.686 0.007 0.995 Tl
0.854 0.500 0.831 Tl
0.081 0.692 0.403 Ir
0.393 0.096 0.394 Ir
0.607 0.596 0.606 Ir
0.919 0.192 0.597 Ir
0.287 0.342 0.701 Se
0.347 0.473 0.270 Se
0.653 0.973 0.730 Se
0.713 0.842 0.299 Se
0.093 0.310 0.458 O
0.370 0.797 0.504 O
0.630 0.297 0.496 O
0.907 0.810 0.542 O
```